No. 1
A plane-wave DFT calculation with PBE was carried out for TcHg2 after structural relaxation.

```
TcHg2
1.0
-4.6261 10.2410 6.7617
3.6960 -11.7797 -4.4247
3.1175 0.4105 1.5110
Tc Hg
2 4
Direct
0.9712 0.0288 0.2500
0.0288 0.9712 0.7500
0.2980 0.7020 0.2500
0.6048 0.3952 0.2500
0.7020 0.2980 0.7500
0.3952 0.6048 0.7500
```

Properties
Energy above the lowest structure with this stoichiometry, meV per atom: 116
Magnetization, μB/atom: 0.000
DOS at the Fermi energy, states/eV per cell: 2.9
Total DFT energy (no corrections), eV/atom: -3.272
ΔE_f, eV/atom: 0.3841

No. 2
A plane-wave DFT calculation with PBE was carried out for Tc4Hg after structural relaxation.

```
Tc4Hg
1.0
4.5596 -0.3116 1.5929
-3.5883 3.0196 1.1958
-1.7791 -4.1414 1.7629
Tc Hg
4 1
Direct
0.8053 0.5818 0.3871
0.1947 0.4182 0.6129
0.5818 0.1947 0.7765
0.4182 0.8053 0.2235
0.0000 0.0000 0.0000
```

Properties
Energy above the lowest structure with this stoichiometry, meV per atom: 0
Magnetization, μB/atom: 0.000
DOS at the Fermi energy, states/eV per cell: 4.6
Total DFT energy (no corrections), eV/atom: -8.011
ΔE_f, eV/atom: 0.3424

No. 3
A plane-wave DFT calculation with PBE was carried out for Tc2Hg after structural relaxation.

```
Tc2Hg
1.0
-0.0106 -3.8574 3.0139
3.7466 -0.7021 3.0714
-0.8628 0.9280 5.4535
Tc Hg
4 2
Direct
0.2697 0.4123 0.7328
0.5877 0.7303 0.7672
0.4123 0.2697 0.2328
0.7303 0.5877 0.2672
0.9243 0.0757 0.7500
0.0757 0.9243 0.2500
```

Properties
Energy above the lowest structure with this stoichiometry, meV per atom: 277
Magnetization, μB/atom: 0.000
DOS at the Fermi energy, states/eV per cell: 6.1
Total DFT energy (no corrections), eV/atom: -6.483
ΔE_f, eV/atom: 0.5287

No. 4
A plane-wave DFT calculation with PBE was carried out for Tc2Hg after structural relaxation.

```
Tc2Hg
1.0
-0.5070 2.0663 1.9011
-2.1018 -0.9302 -1.6905
-1.7349 -4.8814 4.8430
Hg Tc
1 2
Direct
0.0000 0.0000 0.0000
0.3333 0.6667 0.3594
0.6667 0.3333 0.6406
```

Properties
Energy above the lowest structure with this stoichiometry, meV per atom: 40
Magnetization, μB/atom: 0.000
DOS at the Fermi energy, states/eV per cell: 1.4
Total DFT energy (no corrections), eV/atom: -6.720
ΔE_f, eV/atom: 0.2912

No. 5
A plane-wave DFT calculation with PBE was carried out for TcHg2 after structural relaxation.

```
TcHg2
1.0
-4.2032 1.3375 1.9629
2.8504 -3.1408 2.3064
2.6860 4.4398 2.7264
Tc Hg
2 4
Direct
0.3333 0.6667 0.7500
0.6667 0.3333 0.2500
0.0000 0.0000 0.0000
0.0000 0.0000 0.5000
0.3333 0.6667 0.2500
0.6667 0.3333 0.7500
```

Properties
Energy above the lowest structure with this stoichiometry, meV per atom: 571
Magnetization, μB/atom: 0.670
DOS at the Fermi energy, states/eV per cell: 5.5
Total DFT energy (no corrections), eV/atom: -2.817
ΔE_f, eV/atom: 0.8393

No. 6
A plane-wave DFT calculation with PBE was carried out for Tc2Hg after structural relaxation.

```
Tc2Hg
1.0
-5.2453 4.1294 -4.8503
3.8881 -2.5606 6.8130
2.9897 3.2111 -0.4993
Tc Hg
4 2
Direct
0.5925 0.4075 0.2500
0.9570 0.0430 0.2500
0.0430 0.9570 0.7500
0.4075 0.5925 0.7500
0.2941 0.7059 0.2500
0.7059 0.2941 0.7500
```

Properties
Energy above the lowest structure with this stoichiometry, meV per atom: 73
Magnetization, μB/atom: 0.000
DOS at the Fermi energy, states/eV per cell: 7.2
Total DFT energy (no corrections), eV/atom: -6.687
ΔE_f, eV/atom: 0.3241

No. 7
A plane-wave DFT calculation with PBE was carried out for TcHg2 after structural relaxation.

```
TcHg2
1.0
6.8986 0.0571 0.0000
5.5742 4.0648 0.0000
-6.2364 -2.0609 2.1104
Hg Tc
2 1
Direct
0.9878 0.9878 0.0000
0.6788 0.6788 0.0000
0.3333 0.3333 0.0000
```

Properties
Energy above the lowest structure with this stoichiometry, meV per atom: 373
Magnetization, μB/atom: 0.516
DOS at the Fermi energy, states/eV per cell: 2.5
Total DFT energy (no corrections), eV/atom: -3.016
ΔE_f, eV/atom: 0.6405

No. 8
A plane-wave DFT calculation with PBE was carried out for TcHg5 after structural relaxation.

```
TcHg5
1.0
-5.5840 1.1389 -6.6469
5.4402 -4.1343 5.4746
-3.6562 -0.9622 2.9067
Tc Hg
1 5
Direct
0.8896 0.1104 0.5000
0.9924 0.0076 0.0000
0.6619 0.3381 0.0000
0.3446 0.6554 0.0000
0.5380 0.4620 0.5000
0.2402 0.7598 0.5000
```

Properties
Energy above the lowest structure with this stoichiometry, meV per atom: 110
Magnetization, μB/atom: 0.282
DOS at the Fermi energy, states/eV per cell: 4.5
Total DFT energy (no corrections), eV/atom: -1.527
ΔE_f, eV/atom: 0.4526